# 1
First-principles (PBE) data for a relaxed Dy3TiSe6 crystal, as listed in Alexandria via LeMat-Bulk.

a = 11.1875 Å, b = 13.8939 Å, c = 6.8327 Å
α = 90.00°, β = 90.00°, γ = 90.00°
Space group Cmc2_1 (No. 36)
Unique sites:
Dy: 0.0000 0.0959 0.0000 (multiplicity 4)
Dy: 0.1814 0.4021 0.0935 (multiplicity 8)
Ti: 0.0000 0.2990 0.6346 (multiplicity 4)
Se: 0.0000 0.2790 0.2709 (multiplicity 4)
Se: 0.0000 0.4630 0.7862 (multiplicity 4)
Se: 0.1636 0.0327 0.2952 (multiplicity 8)
Se: 0.1688 0.2307 0.8152 (multiplicity 8)

total energy = -233.9 eV per cell
N(E_F) = 5.9 states/eV/f.u.
formation energy from raw total energies = -1.586 eV per atom
volume = 26.6 Å³/atom
calculated density = 6.31 g/cm3
total magnetization = 4.069 Bohr magnetons per cell



# 2
First-principles (PBE) data for a relaxed BeAg2SnS4 crystal, as listed in Alexandria via LeMat-Bulk.

a = 8.1378 Å, b = 10.4612 Å, c = 5.7533 Å
α = 90.00°, β = 134.99°, γ = 90.00°
Space group C2 (No. 5)
Unique sites:
Be: 0.0000 0.0000 0.0000 (multiplicity 2)
Ag: 0.0000 0.2498 0.5000 (multiplicity 2)
Ag: 0.0000 0.4995 0.0000 (multiplicity 2)
Sn: 0.0000 0.7499 0.5000 (multiplicity 2)
S: 0.2085 0.8873 0.9829 (multiplicity 4)
S: 0.2258 0.1124 0.4344 (multiplicity 4)

total energy = -66.8 eV per cell
formation energy from raw total energies = -0.435 eV per atom
volume = 21.6 Å³/atom
calculated density = 4.52 g/cm3
total magnetization = 0.000 Bohr magnetons per cell



# 3
First-principles (PBE) data for a relaxed CdMo2Os crystal, as listed in Alexandria via LeMat-Bulk.

a = 3.9132 Å, b = 3.9132 Å, c = 8.4565 Å
α = 90.00°, β = 90.00°, γ = 90.00°
Space group I4/mmm (No. 139)
Unique sites:
Cd: 0.0000 0.0000 0.0000 (multiplicity 2)
Mo: 0.0000 0.5000 0.2500 (multiplicity 4)
Os: 0.0000 0.0000 0.5000 (multiplicity 2)

total energy = -63.5 eV per cell
N(E_F) = 5.5 states/eV/f.u.
DFT formation energy = 510 meV per atom
volume = 16.2 Å³/atom
calculated density = 12.68 g/cm3
total magnetization = 0.002 Bohr magnetons per cell



# 4
First-principles (PBE) data for a relaxed ThGaRh crystal, as listed in Alexandria via LeMat-Bulk.

a = 7.2051 Å, b = 7.2051 Å, c = 4.1204 Å
α = 90.00°, β = 90.00°, γ = 120.00°
Space group P-62m (No. 189)
Unique sites:
Th: 0.0000 0.4140 0.0000 (multiplicity 3)
Ga: 0.0000 0.7634 0.5000 (multiplicity 3)
Rh: 0.0000 0.0000 0.0000 (multiplicity 1)
Rh: 0.3333 0.6667 0.5000 (multiplicity 2)

total energy = -61.6 eV per cell
N(E_F) = 1.9 states/eV/f.u.
DFT formation energy = -912 meV per atom
volume = 20.6 Å³/atom
calculated density = 10.88 g/cm3
total magnetization = 0.000 Bohr magnetons per cell



# 5
First-principles (PBE) data for a relaxed Cr2TeIr crystal, as listed in Alexandria via LeMat-Bulk.

a = 3.9546 Å, b = 3.9546 Å, c = 3.9280 Å
α = 90.00°, β = 90.00°, γ = 90.00°
Space group P4/mmm (No. 123)
Unique sites:
Cr: 0.0000 0.5000 0.0000 (multiplicity 2)
Te: 0.0000 0.0000 0.5000 (multiplicity 1)
Ir: 0.5000 0.5000 0.5000 (multiplicity 1)

total energy = -30.0 eV per cell
N(E_F) = 3.2 states/eV/f.u.
formation energy from raw total energies = 0.301 eV per atom
volume = 15.4 Å³/atom
calculated density = 11.46 g/cm3
total magnetization = 4.705 Bohr magnetons per cell



# 6
First-principles (PBE) data for a relaxed CaTiCl2 crystal, as listed in Alexandria via LeMat-Bulk.

a = 3.7160 Å, b = 3.7160 Å, c = 25.4252 Å
α = 90.00°, β = 90.00°, γ = 120.00°
Space group R-3m (No. 166, hexagonal axes)
Unique sites:
Ca: 0.0000 0.0000 0.0000 (multiplicity 3)
Ti: 0.0000 0.0000 0.5000 (multiplicity 3)
Cl: 0.0000 0.0000 0.3985 (multiplicity 6)

total energy = -52.1 eV per cell
N(E_F) = 4.5 states/eV/f.u.
excess energy over the best structure of this formula in the dataset = 0 meV/atom
formation energy from raw total energies = -0.941 eV per atom
volume = 25.3 Å³/atom
calculated density = 2.60 g/cm3
total magnetization = 7.837 Bohr magnetons per cell



# 7
First-principles (PBE) data for a relaxed HgPSe2O crystal, as listed in Alexandria via LeMat-Bulk.

a = 4.7068 Å, b = 4.7068 Å, c = 5.1861 Å
α = 90.00°, β = 90.00°, γ = 90.00°
Space group P4/mmm (No. 123)
Unique sites:
Hg: 0.0000 0.0000 0.0000 (multiplicity 1)
P: 0.0000 0.0000 0.5000 (multiplicity 1)
Se: 0.0000 0.5000 0.5000 (multiplicity 2)
O: 0.5000 0.5000 0.0000 (multiplicity 1)

total energy = -13.0 eV per cell
N(E_F) = 11.7 states/eV/f.u.
formation energy from raw total energies = 0.935 eV per atom
volume = 23.0 Å³/atom
calculated density = 5.86 g/cm3
total magnetization = 0.000 Bohr magnetons per cell



# 8
First-principles (PBE) data for a relaxed SrCdGe2 crystal, as listed in Alexandria via LeMat-Bulk.

a = 4.9570 Å, b = 4.9570 Å, c = 18.6229 Å
α = 90.00°, β = 90.00°, γ = 90.00°
Space group I-42d (No. 122)
Unique sites:
Sr: 0.0000 0.0000 0.0000 (multiplicity 4)
Cd: 0.0000 0.0000 0.5000 (multiplicity 4)
Ge: 0.1376 0.2500 0.6250 (multiplicity 8)

total energy = -48.9 eV per cell
N(E_F) = 1.3 states/eV/f.u.
DFT formation energy = -96 meV per atom
volume = 28.6 Å³/atom
calculated density = 5.01 g/cm3
total magnetization = 0.000 Bohr magnetons per cell



# 9
First-principles (PBE) data for a relaxed KSO2F crystal, as listed in Alexandria via LeMat-Bulk.

a = 5.3321 Å, b = 5.3321 Å, c = 4.8560 Å
α = 90.00°, β = 90.00°, γ = 90.00°
Space group P4/mmm (No. 123)
Unique sites:
K: 0.0000 0.0000 0.0000 (multiplicity 1)
S: 0.5000 0.5000 0.5000 (multiplicity 1)
O: 0.0000 0.5000 0.0000 (multiplicity 2)
F: 0.0000 0.0000 0.5000 (multiplicity 1)

total energy = -13.4 eV per cell
N(E_F) = 2.4 states/eV/f.u.
formation energy from raw total energies = 0.732 eV per atom
volume = 27.6 Å³/atom
calculated density = 1.47 g/cm3
total magnetization = 2.005 Bohr magnetons per cell



# 10
First-principles (PBE) data for a relaxed CrReSiOs2 crystal, as listed in Alexandria via LeMat-Bulk.

a = 4.7215 Å, b = 4.7215 Å, c = 4.6106 Å
α = 90.00°, β = 90.00°, γ = 90.00°
Space group P4/mmm (No. 123)
Unique sites:
Cr: 0.0000 0.0000 0.0000 (multiplicity 1)
Re: 0.0000 0.0000 0.5000 (multiplicity 1)
Si: 0.5000 0.5000 0.0000 (multiplicity 1)
Os: 0.0000 0.5000 0.5000 (multiplicity 2)

total energy = -40.0 eV per cell
N(E_F) = 4.7 states/eV/f.u.
formation energy from raw total energies = 1.996 eV per atom
volume = 20.6 Å³/atom
calculated density = 10.45 g/cm3
total magnetization = 2.738 Bohr magnetons per cell



# 11
First-principles (PBE) data for a relaxed Ge2TeS crystal, as listed in Alexandria via LeMat-Bulk.

a = 7.0167 Å, b = 7.0167 Å, c = 7.0167 Å
α = 90.00°, β = 90.00°, γ = 90.00°
Space group Fm-3m (No. 225)
Unique sites:
Ge: 0.2500 0.2500 0.2500 (multiplicity 8)
Te: 0.0000 0.0000 0.0000 (multiplicity 4)
S: 0.0000 0.0000 0.5000 (multiplicity 4)

total energy = -61.9 eV per cell
N(E_F) = 2.4 states/eV/f.u.
excess energy over the best structure of this formula in the dataset = 383 meV/atom
formation energy from raw total energies = 0.256 eV per atom
volume = 21.6 Å³/atom
calculated density = 5.86 g/cm3
total magnetization = 0.000 Bohr magnetons per cell



# 12
First-principles (PBE) data for a relaxed Cd3ReSi crystal, as listed in Alexandria via LeMat-Bulk.

a = 4.9863 Å, b = 4.9863 Å, c = 4.9863 Å
α = 90.00°, β = 90.00°, γ = 90.00°
Space group Pm-3m (No. 221)
Unique sites:
Cd: 0.0000 0.0000 0.5000 (multiplicity 3)
Re: 0.5000 0.5000 0.5000 (multiplicity 1)
Si: 0.0000 0.0000 0.0000 (multiplicity 1)

total energy = -13.5 eV per cell
N(E_F) = 2.0 states/eV/f.u.
excess energy over the best structure of this formula in the dataset = 17 meV/atom
formation energy from raw total energies = 1.425 eV per atom
volume = 24.8 Å³/atom
calculated density = 7.39 g/cm3
total magnetization = 3.314 Bohr magnetons per cell



Question: Which value of calculated density does entry 9 give?
Answer: 1.47 g/cm3



Question: Which of these has the highest total energy?
Answer: HgPSe2O



What did the fifth record say?
First-principles (PBE) data for a relaxed Cr2TeIr crystal, as listed in Alexandria via LeMat-Bulk.

a = 3.9546 Å, b = 3.9546 Å, c = 3.9280 Å
α = 90.00°, β = 90.00°, γ = 90.00°
Space group P4/mmm (No. 123)
Unique sites:
Cr: 0.0000 0.5000 0.0000 (multiplicity 2)
Te: 0.0000 0.0000 0.5000 (multiplicity 1)
Ir: 0.5000 0.5000 0.5000 (multiplicity 1)

total energy = -30.0 eV per cell
N(E_F) = 3.2 states/eV/f.u.
formation energy from raw total energies = 0.301 eV per atom
volume = 15.4 Å³/atom
calculated density = 11.46 g/cm3
total magnetization = 4.705 Bohr magnetons per cell